## RbBi2WF (GGA+U)

Data for a geometry-optimized RbBi2WF structure.

The calculation puts the total energy at -3.543 eV per atom.

The structure belongs to space group P4/mmm (No. 123); the cell edges are 5.880, 5.880 and 4.213 Å and the angles 90.00°, 90.00° and 90.00°. Symmetry generates all atoms from Rb at (0.000, 0.000, 0.000), Bi at (0.000, 0.500, 0.500), W at (0.500, 0.500, 0.500) and F at (0.500, 0.500, 0.000).